(1)
! GGA-PBEsol Na2InPt2, relaxed; values from VASP
&SYSTEM
  ibrav = 0, nat = 10, ntyp = 3
/
ATOMIC_SPECIES
Pt 195.08 Pt.upf
Na 22.99 Na.upf
In 114.82 In.upf
ATOMIC_POSITIONS angstrom
Pt -5.8418 -1.3751 1.8386
Pt -2.3930 -0.5267 0.8757
Pt -3.0415 -1.7570 -2.5312
Pt -6.4903 -2.6054 -1.5683
Na -7.4990 -0.0033 -0.3981
Na -4.7737 1.4108 1.3331
Na -5.5314 -0.2256 -3.3141
Na -2.8060 1.1885 -1.5829
In -4.4417 -1.5660 -0.3463
In 0.0000 0.0000 0.0000
CELL_PARAMETERS angstrom
-1.4217 4.3173 -1.2884
-3.6981 -2.6731 -4.8765
-5.1852 -0.4590 4.1838
! Energy relative to the elements   -0.208 eV/atom
! Space group   P4/mbm (127)
! Total magnetization   0.0 μB per formula unit

=====

(2)
! GGA-PBEsol NaIn2SiPt, relaxed; values from VASP
&SYSTEM
  ibrav = 0, nat = 5, ntyp = 4
/
ATOMIC_SPECIES
Na 22.99 Na.upf
Si 28.09 Si.upf
Pt 195.08 Pt.upf
In 114.82 In.upf
ATOMIC_POSITIONS angstrom
Na 2.3043 2.6316 2.6316
Si 2.3043 0.0000 0.0000
Pt 0.0000 0.0000 0.0000
In 0.0000 0.0000 2.6316
In 0.0000 2.6316 0.0000
CELL_PARAMETERS angstrom
4.6085 0.0000 0.0000
0.0000 5.2631 0.0000
0.0000 0.0000 5.2631
! Formation energy from raw total energies   0.0414 eV per atom
! Space group   P4/mmm (123)
! Total magnetization   0.0 μB per formula unit

=====

(3)
! GGA-PBEsol Rb2Na2In, relaxed; values from VASP
&SYSTEM
  ibrav = 0, nat = 5, ntyp = 3
/
ATOMIC_SPECIES
Na 22.99 Na.upf
Rb 85.47 Rb.upf
In 114.82 In.upf
ATOMIC_POSITIONS angstrom
Na 2.2779 0.0000 5.7802
Na 0.0000 2.2779 5.7802
Rb 2.2779 2.2779 2.1361
Rb 0.0000 0.0000 9.4244
In 0.0000 0.0000 0.0000
CELL_PARAMETERS angstrom
4.5557 0.0000 0.0000
0.0000 4.5557 0.0000
-2.2779 -2.2779 11.5605
! Energy relative to the elements   0.139 eV/atom
! Space group   I4/mmm (139)
! Total magnetization   0.0 μB per formula unit

=====

(4)
! GGA-PBEsol RbNa2In2, relaxed; values from VASP
&SYSTEM
  ibrav = 0, nat = 10, ntyp = 3
/
ATOMIC_SPECIES
Rb 85.47 Rb.upf
In 114.82 In.upf
Na 22.99 Na.upf
ATOMIC_POSITIONS angstrom
Rb 0.0000 4.7325 4.7325
Rb 0.0000 0.0000 0.0000
In 0.0000 8.4238 5.7736
In 0.0000 3.6913 8.4238
In 0.0000 1.0411 3.6913
In 0.0000 5.7736 1.0411
Na 1.7840 1.7006 6.4331
Na 1.7840 6.4331 7.7644
Na 1.7840 7.7644 3.0319
Na 1.7840 3.0319 1.7006
CELL_PARAMETERS angstrom
3.5680 0.0000 0.0000
0.0000 9.4649 0.0000
0.0000 0.0000 9.4649
! Energy relative to the elements   -0.034 eV/atom
! Space group   P4/mbm (127)
! Total magnetization   0.0 μB per formula unit

=====

(5)
! GGA-PBEsol RbNa2InSb, relaxed; values from VASP
&SYSTEM
  ibrav = 0, nat = 5, ntyp = 4
/
ATOMIC_SPECIES
Sb 121.76 Sb.upf
In 114.82 In.upf
Rb 85.47 Rb.upf
Na 22.99 Na.upf
ATOMIC_POSITIONS angstrom
Sb 0.0000 0.0000 0.0000
In 2.9151 2.9151 3.4385
Rb 0.0000 0.0000 3.4385
Na 2.9151 0.0000 0.0000
Na 0.0000 2.9151 0.0000
CELL_PARAMETERS angstrom
5.8302 0.0000 0.0000
0.0000 5.8302 0.0000
0.0000 0.0000 6.8771
! Formation energy from raw total energies   0.1230 eV per atom
! Space group   P4/mmm (123)
! Total magnetization   0.8 μB per formula unit

=====

(6)
! GGA-PBEsol NaInRh3, relaxed; values from VASP
&SYSTEM
  ibrav = 0, nat = 5, ntyp = 3
/
ATOMIC_SPECIES
Na 22.99 Na.upf
Rh 102.91 Rh.upf
In 114.82 In.upf
ATOMIC_POSITIONS angstrom
Na 2.4382 2.4382 2.4382
Rh 0.0000 0.0000 2.4382
Rh 2.4382 0.0000 0.0000
Rh 0.0000 2.4382 0.0000
In 0.0000 0.0000 0.0000
CELL_PARAMETERS angstrom
4.8765 0.0000 0.0000
0.0000 4.8765 0.0000
0.0000 0.0000 4.8765
! Energy relative to the elements   1.282 eV/atom
! Space group   Pm-3m (221)
! Total magnetization   1.8 μB per formula unit

=====

(7)
! GGA-PBEsol NaIn2Rh2, relaxed; values from VASP
&SYSTEM
  ibrav = 0, nat = 10, ntyp = 3
/
ATOMIC_SPECIES
In 114.82 In.upf
Rh 102.91 Rh.upf
Na 22.99 Na.upf
ATOMIC_POSITIONS angstrom
In 0.0000 1.1529 2.7173
In 0.0000 6.5874 5.0230
In 0.0000 5.0230 1.1529
In 0.0000 2.7173 6.5874
Rh 1.5041 1.1289 4.9991
Rh 1.5041 2.7412 1.1289
Rh 1.5041 6.6113 2.7412
Rh 1.5041 4.9991 6.6113
Na 0.0000 0.0000 0.0000
Na 0.0000 3.8701 3.8701
CELL_PARAMETERS angstrom
3.0082 0.0000 0.0000
0.0000 7.7402 0.0000
0.0000 0.0000 7.7402
! Energy relative to the elements   -0.258 eV/atom
! Space group   P4/mbm (127)
! Total magnetization   0.0 μB per formula unit

=====

(8)
! GGA-PBEsol NaIn3Rh, relaxed; values from VASP
&SYSTEM
  ibrav = 0, nat = 5, ntyp = 3
/
ATOMIC_SPECIES
In 114.82 In.upf
Rh 102.91 Rh.upf
Na 22.99 Na.upf
ATOMIC_POSITIONS angstrom
In -1.6709 1.6695 -0.9436
In -1.6094 -1.9013 -0.5140
In -1.0427 0.2594 2.3054
Rh 0.0000 0.0000 0.0000
Na -4.3230 0.0276 0.8478
CELL_PARAMETERS angstrom
-3.3418 3.3389 -1.8872
-3.2188 -3.8026 -1.0280
-2.0854 0.5188 4.6108
! Energy relative to the elements   -0.163 eV/atom
! Space group   Pm-3m (221)
! Total magnetization   0.0 μB per formula unit

=====

(9)
! GGA-PBEsol NaInRh2W, relaxed; values from VASP
&SYSTEM
  ibrav = 0, nat = 5, ntyp = 4
/
ATOMIC_SPECIES
Na 22.99 Na.upf
Rh 102.91 Rh.upf
W 183.84 W.upf
In 114.82 In.upf
ATOMIC_POSITIONS angstrom
Na 0.0000 0.0000 0.0000
Rh 2.2085 0.0000 0.0000
Rh 0.0000 2.2085 0.0000
W 0.0000 0.0000 2.3024
In 2.2085 2.2085 2.3024
CELL_PARAMETERS angstrom
4.4170 0.0000 0.0000
0.0000 4.4170 0.0000
0.0000 0.0000 4.6048
! Energy relative to the elements   2.029 eV/atom
! Space group   P4/mmm (123)
! Total magnetization   2.0 μB per formula unit

=====

(10)
! GGA-PBEsol NaIn3Ru, relaxed; values from VASP
&SYSTEM
  ibrav = 0, nat = 5, ntyp = 3
/
ATOMIC_SPECIES
Na 22.99 Na.upf
Ru 101.07 Ru.upf
In 114.82 In.upf
ATOMIC_POSITIONS angstrom
Na 2.5546 2.5546 2.5546
Ru 0.0000 0.0000 0.0000
In 0.0000 2.5546 0.0000
In 0.0000 0.0000 2.5546
In 2.5546 0.0000 0.0000
CELL_PARAMETERS angstrom
5.1091 0.0000 0.0000
0.0000 5.1091 0.0000
0.0000 0.0000 5.1091
! Energy relative to the elements   -0.001 eV/atom
! Space group   Pm-3m (221)
! Total magnetization   0.0 μB per formula unit

=====

(11)
! GGA-PBEsol NaScInRu2, relaxed; values from VASP
&SYSTEM
  ibrav = 0, nat = 5, ntyp = 4
/
ATOMIC_SPECIES
Sc 44.96 Sc.upf
Ru 101.07 Ru.upf
Na 22.99 Na.upf
In 114.82 In.upf
ATOMIC_POSITIONS angstrom
Sc 0.0000 0.0000 0.0000
Ru 2.3074 0.0000 0.0000
Ru 0.0000 2.3074 0.0000
Na 2.3074 2.3074 2.6876
In 0.0000 0.0000 2.6876
CELL_PARAMETERS angstrom
4.6148 0.0000 0.0000
0.0000 4.6148 0.0000
0.0000 0.0000 5.3753
! Energy relative to the elements   1.133 eV/atom
! Space group   P4/mmm (123)
! Total magnetization   1.4 μB per formula unit

=====

(12)
! GGA-PBEsol NaIn3S5, relaxed; values from VASP
&SYSTEM
  ibrav = 0, nat = 36, ntyp = 3
/
ATOMIC_SPECIES
In 114.82 In.upf
Na 22.99 Na.upf
S 32.06 S.upf
ATOMIC_POSITIONS angstrom
In -14.3567 -2.1654 7.6512
In -6.7798 1.5437 2.2604
In -12.4839 -0.0033 5.0437
In -8.7156 0.1891 5.2068
In -6.2502 -3.0369 2.5482
In -3.0745 2.5436 2.7625
In -8.5271 -5.5243 0.6484
In 0.0000 0.0000 0.0000
In -10.7367 7.0647 6.6558
In -5.5208 5.3765 2.9510
In -5.0273 -4.0251 -0.8537
In -11.1811 3.4151 7.8655
Na -7.8560 3.6938 6.0102
Na -9.5752 -3.3156 4.4035
Na -14.2204 1.4342 8.9162
Na -3.2108 -1.0560 1.4975
S -2.3040 -0.4512 -1.1228
S -5.7570 -5.3426 1.3958
S -9.0442 -6.9949 2.7154
S -8.3871 7.3731 7.6983
S -5.2256 2.9917 4.1976
S -14.6405 0.0864 6.3481
S -8.6889 -3.1996 1.6126
S -10.5362 -0.7656 3.6109
S -11.7365 -4.4027 2.9590
S -4.6232 1.4540 0.9560
S -16.9597 1.9916 8.4269
S -10.5748 4.7400 5.6915
S -7.5272 5.9431 4.3452
S -5.6249 -1.8799 0.3002
S -11.6743 5.7208 9.0179
S -13.6388 3.4203 7.0039
S -8.7276 2.3061 3.6932
S -6.6340 -0.6172 3.6788
S -12.2057 -2.6135 6.2161
S -10.7972 0.9954 6.7349
CELL_PARAMETERS angstrom
-1.8325 1.1622 -3.1095
-8.2222 -9.2125 1.4022
-9.2090 9.5907 9.0115
! Formation energy from raw total energies   -0.7262 eV per atom
! Space group   Pbam (55)
! Total magnetization   0.0 μB per formula unit

=====

(13)
! GGA-PBEsol Na2InS, relaxed; values from VASP
&SYSTEM
  ibrav = 0, nat = 4, ntyp = 3
/
ATOMIC_SPECIES
Na 22.99 Na.upf
In 114.82 In.upf
S 32.06 S.upf
ATOMIC_POSITIONS angstrom
Na -0.5609 -3.0556 -0.1000
Na -1.6828 -9.1668 -0.3001
In -1.1218 -6.1112 -0.2001
S 0.0000 0.0000 0.0000
CELL_PARAMETERS angstrom
-1.9857 -3.9337 2.5191
-2.3833 -3.6953 -2.5354
2.1254 -4.5934 -0.3839
! Formation energy from raw total energies   -0.3225 eV per atom
! Space group   Fm-3m (225)
! Total magnetization   0.0 μB per formula unit

=====

(14)
! GGA-PBEsol Na3InS3, relaxed; values from VASP
&SYSTEM
  ibrav = 0, nat = 28, ntyp = 3
/
ATOMIC_SPECIES
S 32.06 S.upf
Na 22.99 Na.upf
In 114.82 In.upf
ATOMIC_POSITIONS angstrom
S -4.3595 -11.1884 1.0356
S -2.4772 -5.9293 2.4171
S -5.9039 -5.4567 5.0991
S -3.7851 -7.2304 8.4353
S -7.7318 -8.7366 7.2356
S -7.4529 -6.4504 10.5511
S -5.8494 -3.4775 8.6171
S -7.5725 -11.3696 3.7292
S -4.3050 -9.2091 4.5536
S -6.4238 -7.4354 1.2174
S -2.7561 -8.2154 -0.8983
S -2.6364 -3.2963 5.9235
Na -3.4656 -8.5222 1.9585
Na -6.7433 -6.1436 7.6942
Na -5.0819 -9.3807 7.1627
Na -6.6795 -12.1558 9.2064
Na -1.5274 -3.5478 3.3483
Na -8.6815 -11.1181 6.3044
Na -6.9641 -2.1382 2.9672
Na -3.3066 -6.4883 5.2170
Na -3.2449 -12.5277 6.6856
Na -3.5294 -2.5101 0.4464
Na -6.9024 -8.1776 4.4357
Na -5.1270 -5.2852 2.4900
In -1.8547 -6.1749 0.0788
In -5.1089 -3.4950 6.2971
In -5.1000 -11.1708 3.3556
In -8.3542 -8.4909 9.5740
CELL_PARAMETERS angstrom
-7.0506 -1.5748 1.3271
-1.8569 -10.0985 -1.5292
-1.3014 -2.9925 9.8549
! Formation energy from raw total energies   -0.9770 eV per atom
! Space group   C2/c (15)
! Total magnetization   0.0 μB per formula unit

=====

(15)
! GGA-PBEsol Na2InTeS, relaxed; values from VASP
&SYSTEM
  ibrav = 0, nat = 5, ntyp = 4
/
ATOMIC_SPECIES
Te 127.60 Te.upf
In 114.82 In.upf
Na 22.99 Na.upf
S 32.06 S.upf
ATOMIC_POSITIONS angstrom
Te -4.3060 -2.3935 0.2529
In 0.0000 0.0000 0.0000
Na -2.4105 0.5992 1.7974
Na -0.4915 -3.0068 0.3431
S -1.4039 0.0141 -1.8876
CELL_PARAMETERS angstrom
-2.8078 0.0282 -3.7751
-0.9831 -6.0136 0.6862
-4.8210 1.1983 3.5947
! Formation energy from raw total energies   0.0637 eV per atom
! Space group   P4/mmm (123)
! Total magnetization   0.0 μB per formula unit

=====

(16)
! GGA-PBEsol Na2InSb, relaxed; values from VASP
&SYSTEM
  ibrav = 0, nat = 8, ntyp = 3
/
ATOMIC_SPECIES
Na 22.99 Na.upf
Sb 121.76 Sb.upf
In 114.82 In.upf
ATOMIC_POSITIONS angstrom
Na 1.1292 1.1582 8.1414
Na 3.4167 1.1292 2.7138
Na 1.1002 3.3877 2.7138
Na -1.1292 -1.1582 8.1414
Sb 0.0000 0.0000 0.0000
Sb 0.0000 2.2585 5.4276
In 2.2585 2.2585 0.0000
In 2.2585 0.0000 5.4276
CELL_PARAMETERS angstrom
4.5170 0.0000 0.0000
0.0000 4.5170 0.0000
-2.2585 -2.2585 10.8552
! Formation energy from raw total energies   -0.0489 eV per atom
! Space group   I-42d (122)
! Total magnetization   0.0 μB per formula unit

=====

(17)
! GGA-PBEsol Na3ScIn, relaxed; values from VASP
&SYSTEM
  ibrav = 0, nat = 5, ntyp = 3
/
ATOMIC_SPECIES
Sc 44.96 Sc.upf
In 114.82 In.upf
Na 22.99 Na.upf
ATOMIC_POSITIONS angstrom
Sc 0.0000 0.0000 0.0000
In 2.9639 2.9639 2.9639
Na 2.9639 0.0000 0.0000
Na 0.0000 2.9639 0.0000
Na 0.0000 0.0000 2.9639
CELL_PARAMETERS angstrom
5.9279 0.0000 0.0000
0.0000 5.9279 0.0000
0.0000 0.0000 5.9279
! Energy relative to the elements   0.959 eV/atom
! Space group   Pm-3m (221)
! Total magnetization   1.6 μB per formula unit

=====

(18)
! GGA-PBEsol NaScIn2, relaxed; values from VASP
&SYSTEM
  ibrav = 0, nat = 4, ntyp = 3
/
ATOMIC_SPECIES
In 114.82 In.upf
Sc 44.96 Sc.upf
Na 22.99 Na.upf
ATOMIC_POSITIONS angstrom
In 2.5198 1.4548 1.0287
In 7.5595 4.3645 3.0862
Sc 5.0397 2.9097 2.0574
Na 0.0000 0.0000 0.0000
CELL_PARAMETERS angstrom
5.0397 0.0000 0.0000
2.5198 4.3645 0.0000
2.5198 1.4548 4.1149
! Energy relative to the elements   -0.233 eV/atom
! Space group   Fm-3m (225)
! Total magnetization   0.0 μB per formula unit

=====

(19)
! GGA-PBEsol Na7In3Se8, relaxed; values from VASP
&SYSTEM
  ibrav = 0, nat = 36, ntyp = 3
/
ATOMIC_SPECIES
Se 78.96 Se.upf
Na 22.99 Na.upf
In 114.82 In.upf
ATOMIC_POSITIONS angstrom
Se 4.9067 9.1145 9.4091
Se 4.9501 7.0117 0.3469
Se 4.8658 1.9655 6.6403
Se 1.7482 9.6654 0.6860
Se 4.8626 4.3333 10.0650
Se 1.6881 4.6024 7.4264
Se 4.8460 1.2225 12.8904
Se 1.6379 1.0861 10.0776
Se 1.8325 7.2311 10.9326
Se 1.6441 3.8762 13.2295
Se 4.9061 6.2854 6.1500
Se 1.7317 6.5546 3.5114
Se 1.7284 8.9223 6.9361
Se 4.7617 3.6568 2.6438
Se 1.6876 1.7733 4.1673
Se 4.9564 9.8018 3.4988
Na 4.9600 9.3223 6.5788
Na 1.8422 9.4315 3.7509
Na 4.9417 4.1775 13.2886
Na 5.5718 6.8999 11.1437
Na 1.6342 1.5655 6.9976
Na 4.8855 6.5421 3.1958
Na 1.6525 6.7103 0.2878
Na 3.4522 9.3656 11.8961
Na 3.4119 6.7808 8.6070
Na 1.0224 3.9879 2.4327
Na 3.1823 4.1070 4.9695
Na 1.7088 4.3457 10.3806
Na 4.7521 1.4563 9.8255
Na 3.1420 1.5222 1.6803
In 0.8754 9.0959 9.4621
In 0.8654 1.5405 12.5446
In 5.6623 4.2454 7.6491
In 5.7189 1.7920 4.1143
In 5.7288 9.3474 1.0318
In 0.9319 6.6424 5.9273
CELL_PARAMETERS angstrom
6.5637 0.0244 -0.0207
0.0699 10.4521 0.0476
-0.0394 0.4113 13.5495
! Formation energy from raw total energies   -0.8942 eV per atom
! Space group   P-1 (2)
! Total magnetization   0.0 μB per formula unit

=====

(20)
! GGA-PBEsol NaIn2Sn2, relaxed; values from VASP
&SYSTEM
  ibrav = 0, nat = 10, ntyp = 3
/
ATOMIC_SPECIES
In 114.82 In.upf
Na 22.99 Na.upf
Sn 118.71 Sn.upf
ATOMIC_POSITIONS angstrom
In 1.9269 7.0432 2.8698
In 1.9269 2.8698 1.3036
In 1.9269 5.4770 7.0432
In 1.9269 1.3036 5.4770
Na 0.0000 0.0000 0.0000
Na 0.0000 4.1734 4.1734
Sn 0.0000 5.3372 1.1638
Sn 0.0000 3.0096 7.1830
Sn 0.0000 1.1638 3.0096
Sn 0.0000 7.1830 5.3372
CELL_PARAMETERS angstrom
3.8537 0.0000 0.0000
0.0000 8.3468 0.0000
0.0000 0.0000 8.3468
! Energy relative to the elements   -0.040 eV/atom
! Energy above the lowest structure with this stoichiometry   7 meV/atom
! Space group   P4/mbm (127)
! Total magnetization   0.0 μB per formula unit